A plane-wave DFT calculation with GGA+U was carried out for Na3CoF6 after structural relaxation.

Results
E above lowest polymorph, meV per atom: 0
Space group: P2_1/c (14)
Size of the total moment, Bohr magnetons per cell: 8.180

Cell: 5.5622 5.7429 9.7639 Å, 90.00 124.56 90.00°
Atoms (fractional coordinates):
1 Na 0.0000 0.0000 0.0000
2 Na 0.0000 0.5000 0.5000
3 Na 0.2334 0.0573 0.7459
4 Na 0.2334 0.4427 0.2459
5 Na 0.7666 0.5573 0.7541
6 Na 0.7666 0.9427 0.2541
7 Co 0.5000 0.0000 0.5000
8 Co 0.5000 0.5000 0.0000
9 F 0.1625 0.1730 0.4472
10 F 0.1625 0.3270 0.9472
11 F 0.2614 0.7228 0.4289
12 F 0.2614 0.7772 0.9289
13 F 0.3893 0.0570 0.2727
14 F 0.3893 0.4430 0.7727
15 F 0.6107 0.5570 0.2273
16 F 0.6107 0.9430 0.7273
17 F 0.7386 0.2228 0.0711
18 F 0.7386 0.2772 0.5711
19 F 0.8375 0.6730 0.0528
20 F 0.8375 0.8270 0.5528